# BeAs2Rh

A relaxed BeAs2Rh crystal (GGA-PBE, the Alexandria database).

a = 3.4392 Å, b = 3.2226 Å, c = 5.4734 Å
α = 90.00°, β = 100.80°, γ = 90.00°
With the nearest neighbours (Å) after each atom.
Element x y z (fractional)
Be (0.0000, 0.0000, 0.0000)  4 As 2.43
As (0.4392, 0.5000, 0.2456)  2 Be 2.43, 2 Rh 2.69
As (0.5608, 0.5000, 0.7544)  2 Be 2.43, 2 Rh 2.69
Rh (0.0000, 0.0000, 0.5000)  8 As 2.69-2.76, 2 Be 2.74

density: 7295 kg/m3
N(E_F): 0.37 states/eV/atom
calculated formation energy: 8 kJ/mol of atoms
symmetry: P2/m (10)



# Mg2CuAs

A relaxed Mg2CuAs crystal (GGA-PBE, the Alexandria database).

a = 3.0979 Å, b = 3.0979 Å, c = 25.9874 Å
α = 90.00°, β = 90.00°, γ = 120.00°
With the nearest neighbours (Å) after each atom.
Element x y z (fractional)
Mg (0.0000, 0.0000, 0.2449)  3 Cu 2.71, 3 As 2.91
Mg (0.0000, 0.0000, 0.7551)  3 Cu 2.71, 3 As 2.91
Mg (0.3333, 0.6667, 0.4217)  3 Cu 2.71, 3 As 2.91
Mg (0.3333, 0.6667, 0.9116)  3 Cu 2.71, 3 As 2.91
Mg (0.6667, 0.3333, 0.0884)  3 Cu 2.71, 3 As 2.91
Mg (0.6667, 0.3333, 0.5783)  3 Cu 2.71, 3 As 2.91
Cu (0.0000, 0.0000, 0.5000)  6 Mg 2.71
Cu (0.3333, 0.6667, 0.1667)  6 Mg 2.71
Cu (0.6667, 0.3333, 0.8333)  6 Mg 2.71
As (0.0000, 0.0000, 0.0000)  6 Mg 2.91, 6 As 3.10
As (0.3333, 0.6667, 0.6667)  6 Mg 2.91, 6 As 3.10
As (0.6667, 0.3333, 0.3333)  6 Mg 2.91, 6 As 3.10

density: 4315 kg/m3
N(E_F): 0.31 states/eV/atom
calculated formation energy: -3 kJ/mol of atoms
symmetry: R-3m (166)



# Pm2GaIr3

A relaxed Pm2GaIr3 crystal (GGA-PBE, the Alexandria database).

a = 5.6098 Å, b = 5.6098 Å, c = 8.2919 Å
α = 90.00°, β = 90.00°, γ = 120.00°
With the nearest neighbours (Å) after each atom.
Element x y z (fractional)
Pm (0.3333, 0.6667, 0.0644)  9 Ir 3.05-3.20, 4 Pm 3.08-3.41, 3 Ga 3.28
Pm (0.3333, 0.6667, 0.4356)  9 Ir 3.05-3.20, 4 Pm 3.08-3.41, 3 Ga 3.28
Pm (0.6667, 0.3333, 0.5644)  9 Ir 3.05-3.20, 4 Pm 3.08-3.41, 3 Ga 3.28
Pm (0.6667, 0.3333, 0.9356)  9 Ir 3.05-3.20, 4 Pm 3.08-3.41, 3 Ga 3.28
Ga (0.0000, 0.0000, 0.0000)  6 Ir 2.65
Ga (0.0000, 0.0000, 0.5000)  6 Ir 2.65
Ir (0.1699, 0.3398, 0.7500)  2 Ga 2.65, 4 Ir 2.75-2.86
Ir (0.1699, 0.8301, 0.7500)  2 Ga 2.65, 4 Ir 2.75-2.86
Ir (0.3398, 0.1699, 0.2500)  2 Ga 2.65, 4 Ir 2.75-2.86
Ir (0.6602, 0.8301, 0.7500)  2 Ga 2.65, 4 Ir 2.75-2.86
Ir (0.8301, 0.1699, 0.2500)  2 Ga 2.65, 4 Ir 2.75-2.86
Ir (0.8301, 0.6602, 0.2500)  2 Ga 2.65, 4 Ir 2.75-2.86

density: 13761 kg/m3
N(E_F): 0.57 states/eV/atom
calculated formation energy: -72 kJ/mol of atoms
energy above the lowest structure with this stoichiometry: 0.0033 eV per atom
symmetry: P6_3/mmc (194)



# Ce5Cd2Ga

A relaxed Ce5Cd2Ga crystal (GGA-PBE, the Alexandria database).

a = 4.5819 Å, b = 4.5819 Å, c = 19.2538 Å
α = 90.00°, β = 90.00°, γ = 90.00°
With the nearest neighbours (Å) after each atom.
Element x y z (fractional)
Ce (0.0000, 0.0000, 0.0000)  4 Ga 3.24, 8 Ce 3.26
Ce (0.0000, 0.5000, 0.1205)  6 Ce 3.24-3.26, 2 Ga 3.26, 4 Cd 3.37-3.40
Ce (0.0000, 0.5000, 0.3795)  6 Ce 3.24-3.26, 2 Ga 3.26, 4 Cd 3.37-3.40
Ce (0.0000, 0.5000, 0.6205)  6 Ce 3.24-3.26, 2 Ga 3.26, 4 Cd 3.37-3.40
Ce (0.0000, 0.5000, 0.8795)  6 Ce 3.24-3.26, 2 Ga 3.26, 4 Cd 3.37-3.40
Ce (0.5000, 0.0000, 0.1205)  6 Ce 3.24-3.26, 2 Ga 3.26, 4 Cd 3.37-3.40
Ce (0.5000, 0.0000, 0.3795)  6 Ce 3.24-3.26, 2 Ga 3.26, 4 Cd 3.37-3.40
Ce (0.5000, 0.0000, 0.6205)  6 Ce 3.24-3.26, 2 Ga 3.26, 4 Cd 3.37-3.40
Ce (0.5000, 0.0000, 0.8795)  6 Ce 3.24-3.26, 2 Ga 3.26, 4 Cd 3.37-3.40
Ce (0.5000, 0.5000, 0.5000)  4 Ga 3.24, 8 Ce 3.26
Cd (0.0000, 0.0000, 0.2491)  4 Cd 3.24, 8 Ce 3.37-3.40
Cd (0.0000, 0.0000, 0.7509)  4 Cd 3.24, 8 Ce 3.37-3.40
Cd (0.5000, 0.5000, 0.2509)  4 Cd 3.24, 8 Ce 3.37-3.40
Cd (0.5000, 0.5000, 0.7491)  4 Cd 3.24, 8 Ce 3.37-3.40
Ga (0.0000, 0.0000, 0.5000)  12 Ce 3.24-3.26
Ga (0.5000, 0.5000, 0.0000)  12 Ce 3.24-3.26

density: 8176 kg/m3
N(E_F): 2.65 states/eV/atom
calculated formation energy: -19 kJ/mol of atoms
symmetry: I4/mmm (139)



# Ta2TiW2

A relaxed Ta2TiW2 crystal (GGA-PBE, the Alexandria database).

a = 6.7426 Å, b = 6.7426 Å, c = 6.7426 Å
α = 116.40°, β = 80.49°, γ = 136.10°
With the nearest neighbours (Å) after each atom.
Element x y z (fractional)
Ta (0.0775, 0.1560, 0.2335)  2 W 2.54-2.66, 1 Ta 2.73
Ta (0.4225, 0.6560, 0.0785)  2 W 2.54-2.66, 1 Ta 2.73
Ta (0.5775, 0.3440, 0.9215)  2 W 2.54-2.66, 1 Ta 2.73
Ta (0.9225, 0.8440, 0.7665)  2 W 2.54-2.66, 1 Ta 2.73
Ti (0.2500, 0.7500, 0.5000)  2 Ti 2.52
Ti (0.7500, 0.2500, 0.5000)  2 Ti 2.52
W (0.2080, 0.8331, 0.0411)  2 Ta 2.54-2.66
W (0.2920, 0.3331, 0.6251)  2 Ta 2.54-2.66
W (0.7080, 0.6669, 0.3749)  2 Ta 2.54-2.66
W (0.7920, 0.1669, 0.9589)  2 Ta 2.54-2.66

density: 14006 kg/m3
N(E_F): 0.96 states/eV/atom
calculated formation energy: 52 kJ/mol of atoms
energy above the lowest structure with this stoichiometry: 0.1390 eV per atom
symmetry: Ibam (72)



# ZnNi2HAu

A relaxed ZnNi2HAu crystal (GGA-PBE, the Alexandria database).

a = 3.7172 Å, b = 3.7172 Å, c = 3.9994 Å
α = 90.00°, β = 90.00°, γ = 90.00°
With the nearest neighbours (Å) after each atom.
Element x y z (fractional)
Zn (0.0000, 0.0000, 0.0000)  2 H 2.00
Ni (0.0000, 0.5000, 0.5000)  2 H 1.86
Ni (0.5000, 0.0000, 0.5000)  2 H 1.86
H (0.0000, 0.0000, 0.5000)  4 Ni 1.86, 2 Zn 2.00
Au (0.5000, 0.5000, 0.0000)  4 Zn 2.63, 8 Ni 2.73

density: 11442 kg/m3
N(E_F): 0.29 states/eV/atom
energy above the lowest structure with this stoichiometry: 0.0000 eV per atom
symmetry: P4/mmm (123)



# VZn2Ni3

A relaxed VZn2Ni3 crystal (GGA-PBE, the Alexandria database).

a = 2.6265 Å, b = 2.6265 Å, c = 10.4599 Å
α = 90.00°, β = 90.00°, γ = 90.00°
With the nearest neighbours (Å) after each atom.
Element x y z (fractional)
V (0.0000, 0.0000, 0.0000)  8 Ni 2.55, 4 V 2.63
Zn (0.0000, 0.0000, 0.3360)  8 Ni 2.53-2.56, 4 Zn 2.63
Zn (0.0000, 0.0000, 0.6640)  8 Ni 2.53-2.56, 4 Zn 2.63
Ni (0.5000, 0.5000, 0.1672)  4 V 2.55, 4 Zn 2.56, 4 Ni 2.63
Ni (0.5000, 0.5000, 0.5000)  8 Zn 2.53, 4 Ni 2.63
Ni (0.5000, 0.5000, 0.8328)  4 V 2.55, 4 Zn 2.56, 4 Ni 2.63

density: 8235 kg/m3
N(E_F): 0.37 states/eV/atom
calculated formation energy: -22 kJ/mol of atoms
symmetry: P4/mmm (123)



# AlRhBr3

A relaxed AlRhBr3 crystal (GGA-PBE, the Alexandria database).

a = 5.1136 Å, b = 5.1136 Å, c = 5.1136 Å
α = 90.00°, β = 90.00°, γ = 90.00°
With the nearest neighbours (Å) after each atom.
Element x y z (fractional)
Al (0.0000, 0.0000, 0.0000)  6 Br 2.56
Rh (0.5000, 0.5000, 0.5000)  12 Br 3.62
Br (0.0000, 0.0000, 0.5000)  2 Al 2.56
Br (0.0000, 0.5000, 0.0000)  2 Al 2.56
Br (0.5000, 0.0000, 0.0000)  2 Al 2.56

density: 4590 kg/m3
N(E_F): 1.69 states/eV/atom
energy above the lowest structure with this stoichiometry: 0.2820 eV per atom
formation energy (no corrections): 0.247 eV per atom
symmetry: Pm-3m (221)



# Pm3Si6PdPt2

A relaxed Pm3Si6PdPt2 crystal (GGA-PBE, the Alexandria database).

a = 5.7798 Å, b = 5.7798 Å, c = 8.1146 Å
α = 90.00°, β = 90.00°, γ = 120.00°
With the nearest neighbours (Å) after each atom.
Element x y z (fractional)
Pm (0.0000, 0.0000, 0.0000)  6 Si 3.05, 6 Pt 3.35
Pm (0.3333, 0.6667, 0.6340)  9 Si 2.96-3.11, 1 Pt 3.31
Pm (0.6667, 0.3333, 0.3660)  9 Si 2.96-3.11, 1 Pt 3.31
Si (0.1919, 0.3839, 0.2922)  2 Si 2.45, 1 Pt 2.48, 1 Pd 2.56
Si (0.1919, 0.8081, 0.2922)  2 Si 2.45, 1 Pt 2.48, 1 Pd 2.56
Si (0.3839, 0.1919, 0.7078)  2 Si 2.45, 1 Pt 2.48, 1 Pd 2.56
Si (0.6161, 0.8081, 0.2922)  2 Si 2.45, 1 Pt 2.48, 1 Pd 2.56
Si (0.8081, 0.1919, 0.7078)  2 Si 2.45, 1 Pt 2.48, 1 Pd 2.56
Si (0.8081, 0.6161, 0.7078)  2 Si 2.45, 1 Pt 2.48, 1 Pd 2.56
Pd (0.0000, 0.0000, 0.5000)  6 Si 2.56
Pt (0.3333, 0.6667, 0.0418)  3 Si 2.48
Pt (0.6667, 0.3333, 0.9582)  3 Si 2.48

density: 7781 kg/m3
N(E_F): 0.45 states/eV/atom
formation energy (no corrections): -0.506 eV per atom
symmetry: P-3m1 (164)



# Pa2Al3Zn4Ag

A relaxed Pa2Al3Zn4Ag crystal (GGA-PBE, the Alexandria database).

a = 4.1856 Å, b = 4.1856 Å, c = 10.6619 Å
α = 90.00°, β = 90.00°, γ = 90.00°
With the nearest neighbours (Å) after each atom.
Element x y z (fractional)
Pa (0.0000, 0.5000, 0.2449)  6 Al 3.19-3.43, 8 Zn 3.20-3.35, 2 Ag 3.43
Pa (0.5000, 0.0000, 0.7551)  6 Al 3.19-3.43, 8 Zn 3.20-3.35, 2 Ag 3.43
Al (0.0000, 0.5000, 0.8659)  5 Zn 2.39-2.53
Al (0.5000, 0.0000, 0.1341)  5 Zn 2.39-2.53
Al (0.5000, 0.5000, 0.5000)  4 Zn 2.58
Zn (0.0000, 0.0000, 0.0000)  4 Al 2.53
Zn (0.0000, 0.5000, 0.6417)  3 Al 2.39-2.58, 2 Ag 2.58
Zn (0.5000, 0.0000, 0.3583)  3 Al 2.39-2.58, 2 Ag 2.58
Zn (0.5000, 0.5000, 0.0000)  4 Al 2.53
Ag (0.0000, 0.0000, 0.5000)  4 Zn 2.58

density: 8112 kg/m3
N(E_F): 1.05 states/eV/atom
calculated formation energy: -11 kJ/mol of atoms
symmetry: P-4m2 (115)